Material: Mn2SbF
Method: DFT, PBE+U
State: optimized geometry

## Properties
V: 307.6 Å³ per cell
Energy above the lowest structure with this stoichiometry: 0.086 eV per atom
Total energy: -92.3 eV for the cell shown
Size of the total moment: 2.496 μB per atom

abc: 6.7505 6.7505 6.7505
angles: 90.00 90.00 90.00
With the nearest neighbours (Å) after each atom.
Atoms (fractional coordinates):
Mn (0.2500, 0.2500, 0.2500)  4 F 2.92, 4 Sb 2.92
Mn (0.2500, 0.2500, 0.7500)  4 F 2.92, 4 Sb 2.92
Mn (0.2500, 0.7500, 0.2500)  4 F 2.92, 4 Sb 2.92
Mn (0.2500, 0.7500, 0.7500)  4 F 2.92, 4 Sb 2.92
Mn (0.7500, 0.2500, 0.2500)  4 F 2.92, 4 Sb 2.92
Mn (0.7500, 0.2500, 0.7500)  4 F 2.92, 4 Sb 2.92
Mn (0.7500, 0.7500, 0.2500)  4 F 2.92, 4 Sb 2.92
Mn (0.7500, 0.7500, 0.7500)  4 F 2.92, 4 Sb 2.92
Sb (0.0000, 0.0000, 0.0000)  8 Mn 2.92
Sb (0.0000, 0.5000, 0.5000)  8 Mn 2.92
Sb (0.5000, 0.0000, 0.5000)  8 Mn 2.92
Sb (0.5000, 0.5000, 0.0000)  8 Mn 2.92
F (0.0000, 0.0000, 0.5000)  8 Mn 2.92
F (0.0000, 0.5000, 0.0000)  8 Mn 2.92
F (0.5000, 0.0000, 0.0000)  8 Mn 2.92
F (0.5000, 0.5000, 0.5000)  8 Mn 2.92